Entry 1:
A geometry-optimized SrTaV2 structure, computed with GGA-PBE.

abc: 4.801 4.801 9.615
angles: 75.54 75.54 90.00
Element x y z (fractional)
Sr 0.500 0.500 0.000
Sr 0.250 0.750 0.500
Ta 0.000 0.000 0.000
Ta 0.750 0.250 0.500
V 0.881 0.125 0.250
V 0.869 0.625 0.250
V 0.375 0.119 0.750
V 0.875 0.131 0.750

Results
Size of the total moment in μB per formula unit: 0.002
Calculated density in g/cm³: 5.9
Energy relative to the elements in eV per formula unit: 5.3
Density of states at the Fermi level in states/eV per atom: 1.678
Uncorrected energy in eV per atom: -6.61
SG: I-42d, No. 122

Entry 2:
A geometry-optimized La2MgHg structure, computed with GGA-PBE.

abc: 5.036 3.684 6.734
angles: 74.43 90.00 90.00
Element x y z (fractional)
Mg 0.000 0.687 0.498
Hg 0.500 0.560 0.756
La 0.000 0.965 0.948
La 0.500 0.287 0.298

Results
Size of the total moment in μB per formula unit: 0.002
Calculated density in g/cm³: 6.9
Energy relative to the elements in eV per formula unit: -1.1
Density of states at the Fermi level in states/eV per atom: 1.051
Uncorrected energy in eV per atom: -3.20
SG: Pm, No. 6

Entry 3:
A geometry-optimized SrAcNiSb structure, computed with GGA-PBE.

abc: 5.516 5.516 5.516
angles: 60.00 60.00 60.00
Element x y z (fractional)
Sb 0.750 0.750 0.750
Ac 0.000 0.000 0.000
Ni 0.250 0.250 0.250
Sr 0.500 0.500 0.500

Results
Size of the total moment in μB per formula unit: 0.000
Calculated density in g/cm³: 6.9
Density of states at the Fermi level in states/eV per atom: 0.040
Uncorrected energy in eV per atom: -4.35
SG: F-43m, No. 216
Energy relative to the elements, uncorrected in eV per atom: -0.426

Entry 4:
A geometry-optimized KMgMo2 structure, computed with GGA-PBE.

abc: 3.692 3.692 7.677
angles: 90.00 90.00 90.00
Element x y z (fractional)
K 0.500 0.500 0.250
Mg 0.500 0.500 0.750
Mo 0.000 0.000 0.889
Mo 0.000 0.000 0.611

Results
Size of the total moment in μB per formula unit: 0.003
Calculated density in g/cm³: 4.1
Energy relative to the elements in eV per formula unit: 4.0
Density of states at the Fermi level in states/eV per atom: 1.229
Uncorrected energy in eV per atom: -5.08
SG: P4/mmm, No. 123

Entry 5:
A geometry-optimized AcRhBr structure, computed with GGA-PBE.

abc: 4.076 4.076 10.681
angles: 101.00 101.00 90.00
Element x y z (fractional)
Ac 0.102 0.102 0.205
Ac 0.898 0.898 0.795
Rh 0.000 0.500 0.000
Rh 0.500 0.000 0.000
Br 0.682 0.682 0.365
Br 0.318 0.318 0.635

Results
Size of the total moment in μB per formula unit: 0.000
Calculated density in g/cm³: 8.0
Density of states at the Fermi level in states/eV per atom: 0.292
Uncorrected energy in eV per atom: -5.48
SG: I4/mmm, No. 139
Energy relative to the elements, uncorrected in eV per atom: -1.101

Entry 6:
A geometry-optimized Ba2Zn2Cd structure, computed with GGA-PBE.

abc: 6.494 6.494 6.201
angles: 58.43 58.43 90.00
Element x y z (fractional)
Zn 0.356 0.356 0.289
Zn 0.644 0.644 0.711
Ba 0.750 0.250 0.500
Ba 0.250 0.750 0.500
Cd 0.000 0.000 0.000

Results
Size of the total moment in μB per formula unit: 0.000
Calculated density in g/cm³: 4.9
Energy relative to the elements in eV per formula unit: -0.5
Density of states at the Fermi level in states/eV per atom: 0.936
Uncorrected energy in eV per atom: -1.55
SG: I4/mmm, No. 139

Entry 7:
A geometry-optimized Sr2TlZn2 structure, computed with GGA-PBE.

abc: 3.925 3.925 10.283
angles: 79.00 79.00 90.00
Element x y z (fractional)
Sr 0.391 0.391 0.218
Sr 0.609 0.609 0.782
Tl 0.000 0.000 0.000
Zn 0.750 0.250 0.500
Zn 0.250 0.750 0.500

Results
Size of the total moment in μB per formula unit: 0.000
Calculated density in g/cm³: 5.6
Energy relative to the elements in eV per formula unit: -0.7
Density of states at the Fermi level in states/eV per atom: 0.820
Uncorrected energy in eV per atom: -1.80
SG: I4/mmm, No. 139

Entry 8:
A geometry-optimized Y6ErTm2 structure, computed with GGA-PBE.

abc: 3.506 8.677 10.026
angles: 78.15 79.93 78.35
Element x y z (fractional)
Y 0.771 0.346 0.111
Y 0.229 0.654 0.889
Y 0.386 0.673 0.556
Y 0.048 0.652 0.251
Y 0.952 0.348 0.749
Y 0.614 0.327 0.444
Er 0.000 0.000 0.000
Tm 0.329 0.020 0.322
Tm 0.671 0.980 0.678

Results
Size of the total moment in μB per formula unit: 0.006
Calculated density in g/cm³: 6.0
Energy relative to the elements in eV per formula unit: 1.0
Density of states at the Fermi level in states/eV per atom: 1.948
Uncorrected energy in eV per atom: -5.70
SG: C2/m, No. 12

Entry 9:
A geometry-optimized Be2SbPb structure, computed with GGA-PBE.

abc: 3.789 3.789 6.922
angles: 74.29 74.29 59.89
Element x y z (fractional)
Pb 0.447 0.447 0.589
Sb 0.305 0.305 0.123
Be 0.040 0.040 0.895
Be 0.708 0.708 0.893

Results
Size of the total moment in μB per formula unit: 0.000
Calculated density in g/cm³: 7.1
Density of states at the Fermi level in states/eV per atom: 0.301
Uncorrected energy in eV per atom: -3.52
SG: Cm, No. 8
Energy relative to the elements, uncorrected in eV per atom: 0.300

Entry 10:
A geometry-optimized TbTaN2 structure, computed with GGA-PBE.

abc: 3.175 3.175 6.034
angles: 74.75 74.75 60.00
Element x y z (fractional)
Tb 0.672 0.672 0.983
Ta 0.497 0.497 0.510
N 0.090 0.090 0.729
N 0.241 0.241 0.277

Results
Size of the total moment in μB per formula unit: 0.000
Calculated density in g/cm³: 12.2
Density of states at the Fermi level in states/eV per atom: 0.030
Uncorrected energy in eV per atom: -9.58
SG: R3m, No. 160
Energy relative to the elements, uncorrected in eV per atom: -1.298

Entry 11:
A geometry-optimized K4PrOs3O12 structure, computed with GGA-PBE.

abc: 7.110 7.110 7.110
angles: 109.47 109.47 109.47
Element x y z (fractional)
K 0.500 0.500 0.500
K 0.000 0.000 0.500
K 0.500 0.000 0.000
K 0.000 0.500 0.000
Pr 0.000 0.000 0.000
Os 0.500 0.000 0.500
Os 0.500 0.500 0.000
Os 0.000 0.500 0.500
O 0.250 0.500 0.750
O 0.725 0.000 0.725
O 0.275 0.000 0.275
O 0.750 0.500 0.250
O 0.725 0.725 0.000
O 0.275 0.275 0.000
O 0.750 0.250 0.500
O 0.250 0.750 0.500
O 0.500 0.250 0.750
O 0.000 0.725 0.725
O 0.500 0.750 0.250
O 0.000 0.275 0.275

Results
Size of the total moment in μB per formula unit: 0.811
Calculated density in g/cm³: 6.4
Density of states at the Fermi level in states/eV per atom: 0.363
Uncorrected energy in eV per atom: -6.57
SG: Im-3m, No. 229
Energy relative to the elements, uncorrected in eV per atom: -1.455

Entry 12:
A geometry-optimized CsLaTeH2 structure, computed with GGA-PBE.

abc: 4.236 4.236 24.987
angles: 90.00 90.00 120.00
Element x y z (fractional)
Cs 0.000 0.000 0.947
Cs 0.333 0.667 0.614
Cs 0.667 0.333 0.280
La 0.000 0.000 0.139
La 0.333 0.667 0.805
La 0.667 0.333 0.472
Te 0.000 0.000 0.389
Te 0.333 0.667 0.056
Te 0.667 0.333 0.723
H 0.000 0.000 0.527
H 0.333 0.667 0.194
H 0.667 0.333 0.860
H 0.000 0.000 0.819
H 0.333 0.667 0.486
H 0.667 0.333 0.153

Results
Size of the total moment in μB per formula unit: 0.000
Calculated density in g/cm³: 5.1
Density of states at the Fermi level in states/eV per atom: 0.000
Uncorrected energy in eV per atom: -3.88
SG: R3m, No. 160

Entry 13:
A geometry-optimized Al5Pd12Au2 structure, computed with GGA-PBE.

abc: 5.517 7.688 8.298
angles: 102.43 90.00 111.03
Element x y z (fractional)
Al 0.305 0.610 0.630
Al 0.356 0.712 0.136
Al 0.000 0.000 0.500
Al 0.644 0.288 0.864
Al 0.695 0.390 0.370
Pd 0.091 0.182 0.293
Pd 0.048 0.602 0.881
Pd 0.554 0.602 0.881
Pd 0.099 0.696 0.401
Pd 0.597 0.696 0.401
Pd 0.485 0.969 0.665
Pd 0.515 0.031 0.335
Pd 0.901 0.304 0.599
Pd 0.403 0.304 0.599
Pd 0.952 0.398 0.119
Pd 0.446 0.398 0.119
Pd 0.909 0.818 0.707
Au 0.749 0.000 0.000
Au 0.251 0.000 0.000

Results
Size of the total moment in μB per formula unit: 0.000
Calculated density in g/cm³: 9.4
Energy relative to the elements in eV per formula unit: -8.6
Density of states at the Fermi level in states/eV per atom: 0.370
Uncorrected energy in eV per atom: -5.06
SG: C2/m, No. 12

Entry 14:
A geometry-optimized Si3GeBi structure, computed with GGA-PBE.

abc: 4.851 4.851 4.851
angles: 90.00 90.00 90.00
Element x y z (fractional)
Ge 0.000 0.000 0.000
Si 0.000 0.500 0.000
Si 0.000 0.000 0.500
Si 0.500 0.000 0.000
Bi 0.500 0.500 0.500

Results
Size of the total moment in μB per formula unit: 0.000
Calculated density in g/cm³: 5.3
Density of states at the Fermi level in states/eV per atom: 0.576
Uncorrected energy in eV per atom: -4.09
SG: Pm-3m, No. 221
Energy relative to the elements, uncorrected in eV per atom: 0.860

Entry 15:
A geometry-optimized Ce2MgCd2 structure, computed with GGA-PBE.

abc: 3.191 5.160 7.874
angles: 109.13 90.00 90.00
Element x y z (fractional)
Ce 0.500 0.407 0.813
Ce 0.500 0.593 0.187
Mg 0.000 0.000 0.000
Cd 0.000 0.800 0.600
Cd 0.000 0.200 0.400

Results
Size of the total moment in μB per formula unit: 1.373
Calculated density in g/cm³: 7.2
Energy relative to the elements in eV per formula unit: -0.7
Density of states at the Fermi level in states/eV per atom: 1.846
Uncorrected energy in eV per atom: -3.21
SG: Cmmm, No. 65

Entry 16:
A geometry-optimized Ac2NdOs structure, computed with GGA-PBE.

abc: 4.371 5.698 7.150
angles: 113.47 107.77 90.00
Element x y z (fractional)
Ac 0.159 0.169 0.318
Ac 0.841 0.851 0.682
Nd 0.500 0.509 0.000
Os 0.500 0.008 0.000

Results
Size of the total moment in μB per formula unit: 0.000
Calculated density in g/cm³: 8.5
Energy relative to the elements in eV per formula unit: -0.1
Density of states at the Fermi level in states/eV per atom: 0.869
Uncorrected energy in eV per atom: -6.09
SG: Imm2, No. 44

Entry 17:
A geometry-optimized Pm8Pr3Tm2 structure, computed with GGA-PBE.

abc: 6.229 8.890 8.890
angles: 83.62 72.83 72.83
Element x y z (fractional)
Pm 0.213 0.556 0.556
Pm 0.787 0.444 0.444
Pm 0.950 0.156 0.156
Pm 0.050 0.844 0.844
Pm 0.675 0.568 0.082
Pm 0.675 0.082 0.568
Pm 0.325 0.918 0.432
Pm 0.325 0.432 0.918
Pr 0.500 0.000 0.000
Pr 0.000 0.242 0.758
Pr 0.000 0.758 0.242
Tm 0.358 0.288 0.288
Tm 0.642 0.712 0.712

Results
Size of the total moment in μB per formula unit: 0.000
Calculated density in g/cm³: 7.1
Energy relative to the elements in eV per formula unit: 2.0
Density of states at the Fermi level in states/eV per atom: 1.754
Uncorrected energy in eV per atom: -4.56
SG: C2/m, No. 12

Entry 18:
A geometry-optimized Tm4Sb2AsP structure, computed with GGA-PBE.

abc: 4.139 7.182 7.294
angles: 109.07 90.00 90.00
Element x y z (fractional)
Tm 0.500 0.238 0.227
Tm 0.500 0.762 0.773
Tm 0.000 0.253 0.771
Tm 0.000 0.747 0.229
Sb 0.500 0.000 0.500
Sb 0.000 0.500 0.500
As 0.500 0.500 0.000
P 0.000 0.000 0.000

Results
Size of the total moment in μB per formula unit: 0.000
Calculated density in g/cm³: 8.3
Density of states at the Fermi level in states/eV per atom: 0.128
Uncorrected energy in eV per atom: -5.81
SG: P2/m, No. 10
Energy relative to the elements, uncorrected in eV per atom: -1.282

Entry 19:
A geometry-optimized Tb2Sc3Co2 structure, computed with GGA-PBE.

abc: 3.652 8.397 6.250
angles: 63.34 73.01 89.96
Element x y z (fractional)
Tb 0.391 0.581 0.215
Tb 0.609 0.419 0.785
Sc 0.000 0.000 0.000
Sc 0.786 0.182 0.426
Sc 0.214 0.818 0.574
Co 0.591 0.883 0.819
Co 0.409 0.117 0.181

Results
Size of the total moment in μB per formula unit: 0.000
Calculated density in g/cm³: 5.9
Energy relative to the elements in eV per formula unit: -0.5
Density of states at the Fermi level in states/eV per atom: 0.815
Uncorrected energy in eV per atom: -6.14
SG: P-1, No. 2

Entry 20:
A geometry-optimized Sm3Y4Tm4 structure, computed with GGA-PBE.

abc: 3.558 5.019 19.823
angles: 97.27 95.15 90.00
Element x y z (fractional)
Sm 0.637 0.636 0.274
Sm 0.363 0.364 0.726
Sm 0.000 0.000 0.000
Y 0.546 0.546 0.092
Y 0.454 0.454 0.908
Y 0.817 0.817 0.634
Y 0.182 0.183 0.366
Tm 0.092 0.091 0.183
Tm 0.272 0.272 0.544
Tm 0.728 0.728 0.456
Tm 0.908 0.909 0.817

Results
Size of the total moment in μB per formula unit: 0.000
Calculated density in g/cm³: 7.0
Energy relative to the elements in eV per formula unit: 0.3
Density of states at the Fermi level in states/eV per atom: 1.278
Uncorrected energy in eV per atom: -5.24
SG: C2/m, No. 12

Entry 21:
A geometry-optimized Ca4DyHo3Te8 structure, computed with GGA-PBE.

abc: 8.767 8.892 8.767
angles: 119.53 120.00 90.00
Element x y z (fractional)
Ca 0.500 0.000 0.000
Ca 0.500 0.000 0.500
Ca 0.000 0.000 0.000
Ca 0.000 0.000 0.500
Dy 0.000 0.500 0.000
Ho 0.500 0.500 0.000
Ho 0.500 0.500 0.500
Ho 0.000 0.500 0.500
Te 0.248 0.744 0.996
Te 0.248 0.744 0.497
Te 0.252 0.257 0.504
Te 0.747 0.744 0.996
Te 0.253 0.256 0.004
Te 0.748 0.743 0.496
Te 0.752 0.256 0.503
Te 0.752 0.256 0.004

Results
Size of the total moment in μB per formula unit: 0.000
Calculated density in g/cm³: 6.3
Density of states at the Fermi level in states/eV per atom: 0.380
Uncorrected energy in eV per atom: -4.66
SG: R-3m, No. 166
Energy relative to the elements, uncorrected in eV per atom: -1.442

Entry 22:
A geometry-optimized LaPm2Te structure, computed with GGA-PBE.

abc: 3.981 3.981 8.020
angles: 90.00 90.00 90.00
Element x y z (fractional)
La 0.500 0.500 0.000
Te 0.500 0.500 0.500
Pm 0.000 0.000 0.718
Pm 0.000 0.000 0.282

Results
Size of the total moment in μB per formula unit: 0.000
Calculated density in g/cm³: 7.3
Density of states at the Fermi level in states/eV per atom: 0.908
Uncorrected energy in eV per atom: -5.01
SG: P4/mmm, No. 123
Energy relative to the elements, uncorrected in eV per atom: -0.614

Entry 23:
A geometry-optimized TaHgTe2I structure, computed with GGA-PBE.

abc: 5.531 5.531 5.683
angles: 90.00 90.00 90.00
Element x y z (fractional)
I 0.000 0.000 0.500
Te 0.000 0.500 0.000
Te 0.500 0.000 0.000
Hg 0.000 0.000 0.000
Ta 0.500 0.500 0.500

Results
Size of the total moment in μB per formula unit: 2.517
Calculated density in g/cm³: 7.3
Density of states at the Fermi level in states/eV per atom: 0.971
Uncorrected energy in eV per atom: -2.64
SG: P4/mmm, No. 123
Energy relative to the elements, uncorrected in eV per atom: 1.355

Entry 24:
A geometry-optimized Al4Ni3Pt2 structure, computed with GGA-PBE.

abc: 3.924 4.357 7.909
angles: 81.04 90.01 63.23
Element x y z (fractional)
Al 0.659 0.681 0.888
Al 0.019 0.962 0.342
Al 0.981 0.038 0.658
Al 0.341 0.319 0.112
Ni 0.343 0.315 0.432
Ni 0.000 0.000 0.000
Ni 0.657 0.685 0.568
Pt 0.325 0.349 0.784
Pt 0.675 0.651 0.216

Results
Size of the total moment in μB per formula unit: 0.000
Calculated density in g/cm³: 9.4
Energy relative to the elements in eV per formula unit: -6.6
Density of states at the Fermi level in states/eV per atom: 0.237
Uncorrected energy in eV per atom: -5.67
SG: C2/m, No. 12